A plane-wave DFT calculation with meta-GGA SCAN was carried out for a PBEsol-optimized structure of NaTePdI2.

Output
* crystal system: tetragonal
* SG: P4/mmm (123)
* magnetic moment: 2.88 μB per formula unit

Unit cell a=5.489 b=5.516 c=5.516 alpha=90.00 beta=90.00 gamma=90.00
Site moments in Bohr magnetons follow the coordinates.
Element x y z (fractional)
I1 0.000 0.000 0.500  0.28
Pd1 0.500 0.500 0.500  0.58
I2 0.000 0.500 0.000  0.28
Te1 0.500 0.000 0.000  0.86
Na1 0.000 0.000 0.000  0.01

***

A plane-wave DFT calculation with meta-GGA SCAN was carried out for a PBEsol-optimized structure of NaTe2PtI.

Output
* crystal system: tetragonal
* SG: P4/mmm (123)
* magnetic moment: 1.81 μB per formula unit

Unit cell a=5.284 b=5.295 c=5.295 alpha=90.00 beta=90.00 gamma=90.00
Site moments in Bohr magnetons follow the coordinates.
Element x y z (fractional)
Te1 0.000 0.000 0.500  -0.32
I1 0.500 0.000 0.000  -0.23
Te2 0.000 0.500 0.000  -0.32
Na1 0.000 0.000 0.000  0.00
Pt1 0.500 0.500 0.500  -0.46

***

Number 1: raw total energy -28.97 eV per atom, raw formation energy 571 meV/atom, density of states at the Fermi level 1.05 states/eV/atom. Number 2: raw total energy -35.98 eV per atom, raw formation energy 1151 meV/atom, density of states at the Fermi level 1.25 states/eV/atom.